1.
This record from Alexandria via LeMat-Bulk describes Ac5Mg2Pb2 after structural relaxation. The functional is PBE.

Results
**Final energy**: -32.92 eV per formula unit
**Density of states at the Fermi level**: 1.081 states/eV/atom

a = 8.818 Å, b = 8.843 Å, c = 10.009 Å
α = 116.22°, β = 90.00°, γ = 90.00°
Sites, in units of the cell vectors:
Ac 0.822 0.551 0.730
Ac 0.678 0.321 0.270
Pb 0.126 0.625 0.000
Pb 0.874 0.375 0.000
Mg 0.000 0.785 0.569
Ac 0.178 0.179 0.730
Mg 0.000 0.215 0.431
Ac 0.678 0.051 0.730
Ac 0.500 0.500 0.000
Pb 0.374 0.125 0.000
Ac 0.322 0.949 0.270
Ac 0.178 0.449 0.270
Ac 0.322 0.679 0.730
Ac 0.000 0.000 0.000
Pb 0.626 0.875 0.000
Mg 0.500 0.285 0.569
Ac 0.822 0.821 0.270
Mg 0.500 0.715 0.431

***

2.
This record from Alexandria via LeMat-Bulk describes Na2HgAuF6 after structural relaxation. The functional is PBE.

Results
**E above lowest polymorph**: 0.00 kcal/mol of atoms
**E_form (uncorrected)**: -17.78 eV/f.u.
**Final energy**: -35.23 eV per formula unit

a = 6.223 Å, b = 6.017 Å, c = 6.598 Å
α = 84.32°, β = 122.45°, γ = 123.86°
Sites, in units of the cell vectors:
Na 0.578 0.279 0.862
Na 0.602 0.781 0.366
F 0.812 0.690 0.213
F 0.527 0.106 0.198
Hg 0.997 0.008 0.983
Au 0.991 0.488 0.465
F 0.102 0.374 0.141
F 0.447 0.880 0.678
F 0.106 0.225 0.666
F 0.803 0.647 0.729

***

3.
This record from Alexandria via LeMat-Bulk describes ThUGa2 after structural relaxation. The functional is PBE.

Results
**Final energy**: -25.24 eV per formula unit
**Density of states at the Fermi level**: 1.431 states/eV/atom

a = 5.119 Å, b = 5.119 Å, c = 5.119 Å
α = 60.00°, β = 60.00°, γ = 60.00°
Sites, in units of the cell vectors:
U 0.000 0.000 0.000
Ga 0.250 0.250 0.250
Th 0.500 0.500 0.500
Ga 0.750 0.750 0.750

***

4.
This record from Alexandria via LeMat-Bulk describes Ba2InSi2 after structural relaxation. The functional is PBE.

Results
**E_form (uncorrected)**: -1.60 eV/f.u.
**Final energy**: -19.03 eV per formula unit
**Density of states at the Fermi level**: 0.523 states/eV/atom

a = 6.462 Å, b = 6.416 Å, c = 8.945 Å
α = 104.82°, β = 90.00°, γ = 120.23°
Sites, in units of the cell vectors:
Ba 0.507 0.286 0.142
In 0.894 0.000 0.250
In 0.106 0.000 0.750
Si 0.696 0.687 0.500
Si 0.304 0.313 0.500
Ba 0.493 0.714 0.858
Si 0.009 0.313 0.000
Si 0.991 0.687 0.000
Ba 0.778 0.286 0.642
Ba 0.222 0.714 0.358

***

5.
This record from Alexandria via LeMat-Bulk describes NiAgW2 after structural relaxation. The functional is PBE.

Results
**E above lowest polymorph**: 11.79 kcal/mol of atoms
**Final energy**: -31.47 eV per formula unit
**Density of states at the Fermi level**: 1.104 states/eV/atom

a = 4.786 Å, b = 4.786 Å, c = 2.678 Å
α = 90.00°, β = 90.00°, γ = 90.00°
Sites, in units of the cell vectors:
W 0.000 0.000 0.000
Ni 0.000 0.500 0.500
W 0.500 0.500 0.000
Ag 0.500 0.000 0.500

***

6.
This record from Alexandria via LeMat-Bulk describes Ba6In2Bi after structural relaxation. The functional is PBE.

Results
**Final energy**: -24.54 eV per formula unit
**Density of states at the Fermi level**: 1.157 states/eV/atom

a = 10.410 Å, b = 10.410 Å, c = 10.410 Å
α = 104.73°, β = 109.07°, γ = 114.77°
Sites, in units of the cell vectors:
Ba 0.094 0.270 0.824
Ba 0.194 0.757 0.951
Ba 0.304 0.967 0.663
Bi 0.000 0.500 0.500
Ba 0.906 0.730 0.176
In 0.346 0.000 0.346
Ba 0.194 0.243 0.436
In 0.654 0.000 0.654
Ba 0.696 0.033 0.337
Ba 0.806 0.757 0.564
In 0.500 0.381 0.881
Bi 0.000 0.000 0.000
Ba 0.806 0.243 0.049
Ba 0.696 0.359 0.663
Ba 0.304 0.641 0.337
Ba 0.554 0.730 0.824
Ba 0.446 0.270 0.176
In 0.500 0.619 0.119

***

7.
This record from Alexandria via LeMat-Bulk describes TbPmPb2 after structural relaxation. The functional is PBE.

Results
**Final energy**: -18.71 eV per formula unit
**Density of states at the Fermi level**: 0.985 states/eV/atom

a = 3.579 Å, b = 3.579 Å, c = 9.067 Å
α = 90.00°, β = 90.00°, γ = 90.00°
Sites, in units of the cell vectors:
Tb 0.500 0.500 0.500
Pb 0.000 0.000 0.255
Pb 0.000 0.000 0.745
Pm 0.500 0.500 0.000

***

8.
This record from Alexandria via LeMat-Bulk describes Ac2ZnPb2 after structural relaxation. The functional is PBE.

Results
**E above lowest polymorph**: 0.00 kcal/mol of atoms
**Final energy**: -19.14 eV per formula unit
**Density of states at the Fermi level**: 0.221 states/eV/atom

a = 4.953 Å, b = 6.769 Å, c = 10.839 Å
α = 85.92°, β = 76.79°, γ = 68.54°
Sites, in units of the cell vectors:
Pb 0.626 0.880 0.868
Pb 0.937 0.705 0.420
Ac 0.296 0.759 0.648
Ac 0.704 0.241 0.352
Zn 0.502 0.723 0.272
Pb 0.374 0.120 0.132
Ac 0.108 0.705 0.079
Zn 0.498 0.277 0.728
Pb 0.063 0.295 0.580
Ac 0.892 0.295 0.921